Record 1
Ce6MnHg2H | PBE | optimized geometry

Lattice parameters (Å, degrees): 6.7673 6.8096 6.8206 63.56 62.12 63.52
Closest atoms and distances in Å follow each position.
Fractional positions:
Ce: 0.1837 0.2429 0.2696  1 H 2.31
Ce: 0.2581 0.2030 0.7986  1 H 2.47, 1 Mn 2.47
Ce: 0.2781 0.7066 0.7214  1 H 2.40, 1 Mn 2.53
Ce: 0.7219 0.2934 0.2786  1 H 2.40, 1 Mn 2.53
Ce: 0.7419 0.7970 0.2014  1 H 2.47, 1 Mn 2.47
Ce: 0.8163 0.7571 0.7304  1 H 2.31
Mn: 0.5000 0.0000 0.5000  6 Ce 2.47-2.73
Hg: 0.2483 0.7280 0.2310  9 Ce 3.27-3.48
Hg: 0.7517 0.2720 0.7690  9 Ce 3.27-3.48
H: 0.0000 0.5000 0.0000  6 Ce 2.31-2.47

Properties
E_tot: -4.984 eV/atom

Record 2
Ce6Hg2HN | PBE | optimized geometry

Lattice parameters (Å, degrees): 6.9325 6.9325 6.9325 60.00 60.00 60.00
Closest atoms and distances in Å follow each position.
Fractional positions:
Ce: 0.2459 0.2459 0.7541  1 N 2.41, 1 H 2.49
Ce: 0.2459 0.7541 0.2459  1 N 2.41, 1 H 2.49
Ce: 0.2459 0.7541 0.7541  1 N 2.41, 1 H 2.49
Ce: 0.7541 0.2459 0.2459  1 N 2.41, 1 H 2.49
Ce: 0.7541 0.2459 0.7541  1 N 2.41, 1 H 2.49
Ce: 0.7541 0.7541 0.2459  1 N 2.41, 1 H 2.49
Hg: 0.2500 0.2500 0.2500  12 Ce 3.47
Hg: 0.7500 0.7500 0.7500  12 Ce 3.47
H: 0.5000 0.5000 0.5000  6 Ce 2.49
N: 0.0000 0.0000 0.0000  6 Ce 2.41

Properties
E_tot: -5.263 eV/atom

Record 3
CeHgH4Pd6 | PBE | optimized geometry

Lattice parameters (Å, degrees): 5.4767 5.4767 6.3944 90.00 90.00 120.00
Closest atoms and distances in Å follow each position.
Fractional positions:
Ce: 0.0000 0.0000 0.0000  2 Hg 3.20, 12 Pd 3.27, 12 H 3.30
Hg: 0.0000 0.0000 0.5000  12 Pd 3.08, 2 Ce 3.20
H: 0.3333 0.6667 0.1494  3 Pd 1.78, 1 H 1.91
H: 0.3333 0.6667 0.8506  3 Pd 1.78, 1 H 1.91
H: 0.6667 0.3333 0.1494  3 Pd 1.78, 1 H 1.91
H: 0.6667 0.3333 0.8506  3 Pd 1.78, 1 H 1.91
Pd: 0.0000 0.5000 0.2786  2 H 1.78
Pd: 0.0000 0.5000 0.7214  2 H 1.78
Pd: 0.5000 0.0000 0.2786  2 H 1.78
Pd: 0.5000 0.0000 0.7214  2 H 1.78
Pd: 0.5000 0.5000 0.2786  2 H 1.78
Pd: 0.5000 0.5000 0.7214  2 H 1.78

Properties
E_tot: -4.471 eV/atom

Record 4
Ce6PuHg2H | PBE | optimized geometry

Lattice parameters (Å, degrees): 7.0554 7.0554 7.0649 119.89 119.89 90.07
Closest atoms and distances in Å follow each position.
Fractional positions:
Ce: 0.2428 0.2428 0.4877  1 Pu 2.44, 1 H 2.57
Ce: 0.2446 0.7554 0.0000  1 Pu 2.44, 1 H 2.55
Ce: 0.2459 0.2459 0.0020  1 Pu 2.44, 1 H 2.54
Ce: 0.7541 0.7541 0.9980  1 Pu 2.44, 1 H 2.54
Ce: 0.7554 0.2446 0.0000  1 Pu 2.44, 1 H 2.55
Ce: 0.7572 0.7572 0.5123  1 Pu 2.44, 1 H 2.57
Pu: 0.0000 0.0000 0.0000  6 Ce 2.44
Hg: 0.2500 0.7500 0.5000  12 Ce 3.52-3.54
Hg: 0.7500 0.2500 0.5000  12 Ce 3.52-3.54
H: 0.5000 0.5000 0.0000  6 Ce 2.54-2.57

Properties
E_tot: -5.684 eV/atom